Computed, not measured: a relaxed Nd3Ga9Co2 crystal at the PBE-GGA level of DFT.

Output
- DOS at the Fermi energy: 6.927 states/eV/f.u.
- E: -4.485 eV/atom
- Energy of formation: -503 meV/atom

Geometry as POSCAR:
```
Nd3Ga9Co2
1.0
-2.1384 4.8120 6.2522
2.1384 -4.8120 6.2522
2.1384 4.8120 -6.2522
Nd Ga Co
3 9 2
direct
0.0000 0.0000 0.0000
0.3053 0.3053 0.0000
0.6947 0.6947 0.0000
0.0134 0.6534 0.3600
0.1546 0.8729 0.2817
0.2935 0.6534 0.6400
0.4088 0.1271 0.2817
0.5000 0.0000 0.5000
0.5912 0.8729 0.7183
0.7065 0.3466 0.3600
0.8454 0.1271 0.7183
0.9866 0.3466 0.6400
0.3121 0.5000 0.8121
0.6879 0.5000 0.1879
```